Model 1:
Entry from the Alexandria database: BeAs2BrCl after structural relaxation (PBE-GGA).

Structure (extended XYZ):
```
5
Lattice="4.661 0.000 0.000 0.000 4.661 0.000 0.000 0.000 4.698" Properties=species:S:1:pos:R:3 pbc="T T T"
Be 0.000 0.000 0.000
As 0.000 2.331 0.000
As 2.331 0.000 0.000
Br 0.000 0.000 2.349
Cl 2.331 2.331 2.349
```

Summary:
DOS at the Fermi energy in states/eV per cell: 2.8
Total moment in μB/atom: 0.0001

Model 2:
Entry from the Alexandria database: BeAs2BrCl after structural relaxation (PBE-GGA).

Structure (extended XYZ):
```
5
Lattice="4.685 0.000 0.000 0.000 4.685 0.000 0.000 0.000 6.666" Properties=species:S:1:pos:R:3 pbc="T T T"
Be 0.000 0.000 0.000
As 0.000 2.342 3.333
As 2.342 0.000 3.333
Br 2.342 2.342 0.000
Cl 2.342 2.342 3.333
```

Summary:
DOS at the Fermi energy in states/eV per cell: 4.5
Total moment in μB/atom: 0.0948

Stability comparison, relative energies in meV/atom: model 1 0; model 2 905